A relaxed structure of Na2MnF. Source: Alexandria, functional PBE with a Hubbard U.

Cell lengths 7.3219, 7.3219, 7.3219 Å; angles 90.00, 90.00, 90.00 degrees
Fractional positions:
Na 0.2500 0.2500 0.2500
Na 0.2500 0.2500 0.7500
Na 0.2500 0.7500 0.2500
Na 0.2500 0.7500 0.7500
Na 0.7500 0.2500 0.2500
Na 0.7500 0.2500 0.7500
Na 0.7500 0.7500 0.2500
Na 0.7500 0.7500 0.7500
Mn 0.0000 0.0000 0.0000
Mn 0.0000 0.5000 0.5000
Mn 0.5000 0.0000 0.5000
Mn 0.5000 0.5000 0.0000
F 0.0000 0.0000 0.5000
F 0.0000 0.5000 0.0000
F 0.5000 0.0000 0.0000
F 0.5000 0.5000 0.5000

**Energy above the lowest structure with this stoichiometry**: 484 meV per atom